First-principles (PBE-GGA) data for a relaxed BaCdPb2 crystal, as listed in Alexandria.

a b c (Å): 6.4919 6.7614 3.6456
angles (deg): 77.82 82.99 116.56
Fractional positions:
Pb1 0.0000 0.0000 0.0000
Pb2 0.5000 0.0000 0.5000
Ba1 0.0000 0.5000 0.5000
Cd1 0.5000 0.5000 0.0000

Computed properties:
magnetic moment	0.0	μB per formula unit
E_form	-0.14	eV per atom

---

First-principles (PBE-GGA) data for a relaxed PmDyTe2O crystal, as listed in Alexandria.

a b c (Å): 4.1958 4.1958 15.7922
angles (deg): 90.00 90.00 90.00
Fractional positions:
Pm1 0.5000 0.0000 0.5691
Pm2 0.0000 0.5000 0.4309
Dy1 0.5000 0.0000 0.1305
Dy2 0.0000 0.5000 0.8695
Te1 0.0000 0.5000 0.6885
Te2 0.0000 0.5000 0.0841
Te3 0.5000 0.0000 0.9159
Te4 0.5000 0.0000 0.3115
O1 0.0000 0.0000 0.5000
O2 0.5000 0.5000 0.5000

Computed properties:
magnetic moment	0.0	μB per formula unit
E	-6.18	eV/atom

---

First-principles (PBE-GGA) data for a relaxed TaNb4V crystal, as listed in Alexandria.

a b c (Å): 4.6265 4.6265 10.3432
angles (deg): 102.75 102.75 90.26
Fractional positions:
Ta1 0.0000 0.0000 0.5000
Ta2 0.5000 0.5000 0.5000
Nb1 0.1711 0.1711 0.8431
Nb2 0.3289 0.3289 0.1569
Nb3 0.8289 0.8289 0.1569
Nb4 0.6711 0.6711 0.8431
Nb5 0.0856 0.5856 0.6719
Nb6 0.4144 0.9144 0.3281
Nb7 0.9144 0.4144 0.3281
Nb8 0.5856 0.0856 0.6719
V1 0.7500 0.2501 0.0000
V2 0.2500 0.7499 0.0000

Computed properties:
magnetic moment	0.0	μB per formula unit
E_form	0.01	eV per atom

---

First-principles (PBE-GGA) data for a relaxed Ca2TbS4 crystal, as listed in Alexandria.

a b c (Å): 3.8694 7.0801 12.7524
angles (deg): 90.00 90.00 105.86
Fractional positions:
Ca1 0.1302 0.2603 0.4306
Ca2 0.8698 0.7397 0.9306
Ca3 0.1302 0.2603 0.0694
Ca4 0.8698 0.7397 0.5694
Tb1 0.6201 0.2402 0.7500
Tb2 0.3799 0.7598 0.2500
S1 0.7759 0.5517 0.1285
S2 0.7759 0.5517 0.3715
S3 0.2241 0.4483 0.8715
S4 0.2241 0.4483 0.6285
S5 0.9802 0.9604 0.7500
S6 0.0198 0.0396 0.2500
S7 0.5000 0.0000 0.0000
S8 0.5000 0.0000 0.5000

Computed properties:
magnetic moment	0.1	μB per formula unit
E	-5.37	eV/atom